[1]
Here is a relaxed Dy4InSn2 crystal from Alexandria. Energies are from PBE.

abc: 10.898 10.898 10.898
angles: 26.11 26.11 26.11
Element x y z (fractional)
Dy  0.121  0.121  0.121
Dy  0.297  0.297  0.297
Dy  0.703  0.703  0.703
Dy  0.879  0.879  0.879
In  0.500  0.500  0.500
Sn  0.402  0.402  0.402
Sn  0.598  0.598  0.598

Calculated total energy in eV/atom: -4.550
E_form in eV/f.u.: -2.70


[2]
Here is a relaxed BiPAuS crystal from Alexandria. Energies are from PBE.

abc: 3.685 3.674 7.069
angles: 90.00 104.61 90.00
Element x y z (fractional)
Bi  0.000  0.000  0.000
P  0.192  0.000  0.648
Au  0.657  0.500  0.595
S  0.493  0.500  0.185

Formation energy without anion corrections in eV/f.u.: 0.3
Energy relative to the lowest polymorph listed for this composition in eV/atom: 0.1298
Calculated total energy in eV/atom: -4.091